1.
# Zr6SnSb | the Alexandria database | GGA-PBE | optimized geometry
data_Zr6SnSb
_cell_length_a 5.178
_cell_length_b 6.706
_cell_length_c 10.291
_cell_angle_alpha 90.00
_cell_angle_beta 90.00
_cell_angle_gamma 90.00
_symmetry_space_group_name_H-M 'A m m 2'
_symmetry_Int_Tables_number 38
_symmetry_space_group_name_Hall 'A 2 -2'
loop_
_atom_site_label
_atom_site_type_symbol
_atom_site_fract_x
_atom_site_fract_y
_atom_site_fract_z
Zr1 Zr 0.000 0.000 0.000
Zr2 Zr 0.000 0.228 0.270
Zr3 Zr 0.500 0.000 0.738
Zr4 Zr 0.500 0.229 0.468
Sn1 Sn 0.000 0.000 0.537
Sb1 Sb 0.500 0.000 0.201
# - magnetic moment (Bohr magnetons per cell) = 0.0
# - raw total energy (eV/atom) = -7.826
# - formation energy from raw total energies (eV/atom) = -0.3990

---

2.
# Sr5Sb | the Alexandria database | GGA-PBE | optimized geometry
data_Sr5Sb
_cell_length_a 5.079
_cell_length_b 17.775
_cell_length_c 5.839
_cell_angle_alpha 90.00
_cell_angle_beta 90.00
_cell_angle_gamma 90.00
_symmetry_space_group_name_H-M 'C m m m'
_symmetry_Int_Tables_number 65
_symmetry_space_group_name_Hall '-C 2 2'
loop_
_atom_site_label
_atom_site_type_symbol
_atom_site_fract_x
_atom_site_fract_y
_atom_site_fract_z
Sr1 Sr 0.000 0.000 0.000
Sr2 Sr 0.000 0.145 0.500
Sr3 Sr 0.000 0.333 0.000
Sb1 Sb 0.000 0.500 0.500
# - magnetic moment (Bohr magnetons per cell) = 0.0
# - raw total energy (eV/atom) = -2.384
# - formation energy from raw total energies (eV/atom) = -0.2956

---

3.
# Sr2Sb | the Alexandria database | GGA-PBE | optimized geometry
data_Sr2Sb
_cell_length_a 5.421
_cell_length_b 5.421
_cell_length_c 4.282
_cell_angle_alpha 90.00
_cell_angle_beta 90.00
_cell_angle_gamma 90.00
_symmetry_space_group_name_H-M 'P 4/m m m'
_symmetry_Int_Tables_number 123
_symmetry_space_group_name_Hall '-P 4 2'
loop_
_atom_site_label
_atom_site_type_symbol
_atom_site_fract_x
_atom_site_fract_y
_atom_site_fract_z
Sr1 Sr 0.000 0.500 0.000
Sb1 Sb 0.000 0.000 0.500
# - magnetic moment (Bohr magnetons per cell) = 0.8
# - raw total energy (eV/atom) = -3.205
# - formation energy from raw total energies (eV/atom) = -0.7094

---

> Which value of magnetic moment does entry 1 give?

0.0 Bohr magnetons per cell